VASP calculation (meta-GGA SCAN) on a PBEsol-optimized structure of ZnIrCl4.

The value obtained for the density of states at the Fermi level is 5.03 states/eV/f.u. Its total energy is -18.05 eV per atom. As for the symmetry: No. 216.

Lattice parameters (Å, degrees): 5.4673 5.4673 5.4673 60.00 60.00 60.00
Element x y z (fractional)
Cl 0.8730 0.3757 0.3757
Cl 0.3757 0.3757 0.8730
Cl 0.3757 0.3757 0.3757
Cl 0.3757 0.8730 0.3757
Zn 0.0000 0.0000 0.0000
Ir 0.7500 0.7500 0.7500